DFT (PBE-GGA) results for an optimized crystal structure of Li2CeAl9.

a b c (Å): 9.282 9.282 9.282
angles (deg): 34.42 34.42 34.42
Atoms (fractional coordinates):
Li: 0.143 0.143 0.143
Li: 0.857 0.857 0.857
Ce: 0.000 0.000 0.000
Al: 0.078 0.587 0.587
Al: 0.335 0.335 0.335
Al: 0.413 0.413 0.922
Al: 0.413 0.922 0.413
Al: 0.500 0.500 0.500
Al: 0.587 0.078 0.587
Al: 0.587 0.587 0.078
Al: 0.665 0.665 0.665
Al: 0.922 0.413 0.413

The calculated total energy is -3.753 eV/atom. The value obtained for the formation energy is -0.132 eV per atom.